[1]
{
  "formula": "LuFe4Tc",
  "functional": "PBE-GGA",
  "state": "optimized geometry",
  "n_ef_per_ev_fu": 6.721,
  "m_tot_mub_per_fu": 8.65,
  "e_tot_ev_per_atom": -8.11,
  "formation_energy_mev_per_atom": 9,
  "sg": "F-43m (216)",
  "lattice": [[0.0000, 3.4604, 3.4604], [3.4604, 0.0000, 3.4604], [3.4604, 3.4604, 0.0000]],
  "species": ["Lu", "Fe", "Fe", "Fe", "Fe", "Tc"],
  "fractional_positions": [[0.0000, 0.0000, 0.0000], [0.3762, 0.3762, 0.3762], [0.3762, 0.3762, 0.8713], [0.3762, 0.8713, 0.3762], [0.8713, 0.3762, 0.3762], [0.7500, 0.7500, 0.7500]]
}



[2]
{
  "formula": "LuThFeTc",
  "functional": "PBE-GGA",
  "state": "optimized geometry",
  "n_ef_per_ev_fu": 5.194,
  "m_tot_mub_per_fu": 1.44,
  "e_tot_ev_per_atom": -7.71,
  "formation_energy_mev_per_atom": -22,
  "sg": "F-43m (216)",
  "lattice": [[0.0000, 3.4234, 3.4234], [3.4234, 0.0000, 3.4234], [3.4234, 3.4234, 0.0000]],
  "species": ["Lu", "Th", "Fe", "Tc"],
  "fractional_positions": [[0.0000, 0.0000, 0.0000], [0.5000, 0.5000, 0.5000], [0.2500, 0.2500, 0.2500], [0.7500, 0.7500, 0.7500]]
}



[3]
{
  "formula": "LuUFeTc",
  "functional": "PBE-GGA",
  "state": "optimized geometry",
  "n_ef_per_ev_fu": 8.622,
  "m_tot_mub_per_fu": 0.47,
  "e_tot_ev_per_atom": -8.61,
  "formation_energy_mev_per_atom": 45,
  "sg": "F-43m (216)",
  "lattice": [[0.0000, 3.3249, 3.3249], [3.3249, 0.0000, 3.3249], [3.3249, 3.3249, 0.0000]],
  "species": ["Lu", "U", "Fe", "Tc"],
  "fractional_positions": [[0.0000, 0.0000, 0.0000], [0.5000, 0.5000, 0.5000], [0.2500, 0.2500, 0.2500], [0.7500, 0.7500, 0.7500]]
}



[4]
{
  "formula": "LuFeTcW",
  "functional": "PBE-GGA",
  "state": "optimized geometry",
  "n_ef_per_ev_fu": 1.458,
  "m_tot_mub_per_fu": 0.00,
  "e_tot_ev_per_atom": -9.05,
  "formation_energy_mev_per_atom": 23,
  "sg": "F-43m (216)",
  "lattice": [[0.0000, 3.1590, 3.1590], [3.1590, 0.0000, 3.1590], [3.1590, 3.1590, 0.0000]],
  "species": ["Lu", "Fe", "Tc", "W"],
  "fractional_positions": [[0.0000, 0.0000, 0.0000], [0.2500, 0.2500, 0.2500], [0.7500, 0.7500, 0.7500], [0.5000, 0.5000, 0.5000]]
}